Here is CoCuSb3 after structural relaxation from Alexandria. Energies are from GGA-PBE.

```
data_CoCuSb3
_chemical_formula_sum 'Co1 Cu1 Sb3'
_cell_length_a 4.917
_cell_length_b 4.917
_cell_length_c 4.917
_cell_angle_alpha 90.00
_cell_angle_beta 90.00
_cell_angle_gamma 90.00
_symmetry_space_group_name_H-M 'P m -3 m'
_symmetry_Int_Tables_number 221
_symmetry_space_group_name_Hall '-P 4 2 3'
loop_
_atom_site_label
_atom_site_fract_x
_atom_site_fract_y
_atom_site_fract_z
_atom_site_occupancy
Co1 0.000 0.000 0.000 1
Cu1 0.500 0.500 0.500 1
Sb1 0.000 0.000 0.500 1
```

Formation energy from raw total energies (eV per atom): 0.54
Density of states at the Fermi level (states/eV per cell): 5.8
ΔE to the lowest computed polymorph (eV/atom): 0.000

Here is CoCuSb4 after structural relaxation from Alexandria. Energies are from GGA-PBE.

```
data_CoCuSb4
_chemical_formula_sum 'Co4 Cu4 Sb16'
_cell_length_a 8.617
_cell_length_b 8.617
_cell_length_c 8.617
_cell_angle_alpha 90.00
_cell_angle_beta 90.00
_cell_angle_gamma 90.00
_symmetry_space_group_name_H-M 'F -4 3 m'
_symmetry_Int_Tables_number 216
_symmetry_space_group_name_Hall 'F -4 2 3'
loop_
_atom_site_label
_atom_site_fract_x
_atom_site_fract_y
_atom_site_fract_z
_atom_site_occupancy
Co1 0.000 0.000 0.000 1
Cu1 0.250 0.250 0.750 1
Sb1 0.124 0.124 0.376 1
```

Formation energy from raw total energies (eV per atom): 0.97
Density of states at the Fermi level (states/eV per cell): 19.9

Here is CoCuSb after structural relaxation from Alexandria. Energies are from GGA-PBE.

```
data_CoCuSb
_chemical_formula_sum 'Co1 Cu1 Sb1'
_cell_length_a 3.1452
_cell_length_b 3.1452
_cell_length_c 5.7504
_cell_angle_alpha 90.00
_cell_angle_beta 90.00
_cell_angle_gamma 120.00
_symmetry_space_group_name_H-M 'P 3 m 1'
_symmetry_Int_Tables_number 156
_symmetry_space_group_name_Hall 'P 3 -2"'
loop_
_atom_site_label
_atom_site_fract_x
_atom_site_fract_y
_atom_site_fract_z
_atom_site_occupancy
Co1 0.0000 0.0000 0.0000 1
Cu1 0.6667 0.3333 0.3050 1
Sb1 0.3333 0.6667 0.6817 1
```

Formation energy from raw total energies (eV per atom): 0.43
Density of states at the Fermi level (states/eV per cell): 3.3

Here is CoCu4Sb after structural relaxation from Alexandria. Energies are from GGA-PBE.

```
data_CoCu4Sb
_chemical_formula_sum 'Co4 Cu16 Sb4'
_cell_length_a 6.905
_cell_length_b 6.905
_cell_length_c 6.905
_cell_angle_alpha 90.00
_cell_angle_beta 90.00
_cell_angle_gamma 90.00
_symmetry_space_group_name_H-M 'F -4 3 m'
_symmetry_Int_Tables_number 216
_symmetry_space_group_name_Hall 'F -4 2 3'
loop_
_atom_site_label
_atom_site_fract_x
_atom_site_fract_y
_atom_site_fract_z
_atom_site_occupancy
Co1 0.000 0.000 0.000 1
Cu1 0.126 0.126 0.626 1
Sb1 0.250 0.250 0.250 1
```

Formation energy from raw total energies (eV per atom): 0.22
Density of states at the Fermi level (states/eV per cell): 26.3

Here is Co2CuSb2 after structural relaxation from Alexandria. Energies are from GGA-PBE.

```
data_Co2CuSb2
_chemical_formula_sum 'Co4 Cu2 Sb4'
_cell_length_a 7.229
_cell_length_b 7.229
_cell_length_c 3.096
_cell_angle_alpha 90.00
_cell_angle_beta 90.00
_cell_angle_gamma 90.00
_symmetry_space_group_name_H-M 'P 4/m b m'
_symmetry_Int_Tables_number 127
_symmetry_space_group_name_Hall '-P 4 2ab'
loop_
_atom_site_label
_atom_site_fract_x
_atom_site_fract_y
_atom_site_fract_z
_atom_site_occupancy
Co1 0.133 0.367 0.000 1
Cu1 0.000 0.000 0.500 1
Sb1 0.162 0.662 0.500 1
```

Formation energy from raw total energies (eV per atom): 0.28
Density of states at the Fermi level (states/eV per cell): 9.9
ΔE to the lowest computed polymorph (eV/atom): 0.130

Here is Co2CuSb2 after structural relaxation from Alexandria. Energies are from GGA-PBE.

```
data_Co2CuSb2
_chemical_formula_sum 'Co4 Cu2 Sb4'
_cell_length_a 6.796
_cell_length_b 6.796
_cell_length_c 3.414
_cell_angle_alpha 90.00
_cell_angle_beta 90.00
_cell_angle_gamma 90.00
_symmetry_space_group_name_H-M 'P 4/m b m'
_symmetry_Int_Tables_number 127
_symmetry_space_group_name_Hall '-P 4 2ab'
loop_
_atom_site_label
_atom_site_fract_x
_atom_site_fract_y
_atom_site_fract_z
_atom_site_occupancy
Co1 0.135 0.365 0.000 1
Cu1 0.000 0.000 0.000 1
Sb1 0.166 0.666 0.500 1
```

Formation energy from raw total energies (eV per atom): 0.15
Density of states at the Fermi level (states/eV per cell): 11.5
ΔE to the lowest computed polymorph (eV/atom): 0.000

Here is CoCuSb after structural relaxation from Alexandria. Energies are from GGA-PBE.

```
data_CoCuSb
_chemical_formula_sum 'Co4 Cu4 Sb4'
_cell_length_a 8.184
_cell_length_b 3.974
_cell_length_c 5.902
_cell_angle_alpha 90.00
_cell_angle_beta 90.00
_cell_angle_gamma 90.00
_symmetry_space_group_name_H-M 'P n m a'
_symmetry_Int_Tables_number 62
_symmetry_space_group_name_Hall '-P 2ac 2n'
loop_
_atom_site_label
_atom_site_fract_x
_atom_site_fract_y
_atom_site_fract_z
_atom_site_occupancy
Co1 0.110 0.250 0.002 1
Cu1 0.115 0.750 0.291 1
Sb1 0.141 0.750 0.745 1
```

Formation energy from raw total energies (eV per atom): -0.01
Density of states at the Fermi level (states/eV per cell): 9.3

Here is CoCuSb after structural relaxation from Alexandria. Energies are from GGA-PBE.

```
data_CoCuSb
_chemical_formula_sum 'Co2 Cu2 Sb2'
_cell_length_a 3.360
_cell_length_b 3.360
_cell_length_c 7.856
_cell_angle_alpha 90.00
_cell_angle_beta 90.00
_cell_angle_gamma 90.00
_symmetry_space_group_name_H-M 'I 4 m m'
_symmetry_Int_Tables_number 107
_symmetry_space_group_name_Hall 'I 4 -2'
loop_
_atom_site_label
_atom_site_fract_x
_atom_site_fract_y
_atom_site_fract_z
_atom_site_occupancy
Co1 0.000 0.000 0.000 1
Cu1 0.000 0.000 0.663 1
Sb1 0.000 0.000 0.339 1
```

Formation energy from raw total energies (eV per atom): 0.15
Density of states at the Fermi level (states/eV per cell): 3.9

Here is CoCuSb after structural relaxation from Alexandria. Energies are from GGA-PBE.

```
data_CoCuSb
_chemical_formula_sum 'Co1 Cu1 Sb1'
_cell_length_a 4.1841
_cell_length_b 4.1841
_cell_length_c 3.1077
_cell_angle_alpha 90.00
_cell_angle_beta 90.00
_cell_angle_gamma 120.00
_symmetry_space_group_name_H-M 'P 3 m 1'
_symmetry_Int_Tables_number 156
_symmetry_space_group_name_Hall 'P 3 -2"'
loop_
_atom_site_label
_atom_site_fract_x
_atom_site_fract_y
_atom_site_fract_z
_atom_site_occupancy
Co1 0.0000 0.0000 0.0000 1
Cu1 0.3333 0.6667 0.4567 1
Sb1 0.6667 0.3333 0.8926 1
```

Formation energy from raw total energies (eV per atom): 0.29
Density of states at the Fermi level (states/eV per cell): 2.1

Here is ScCoCu2Sb after structural relaxation from Alexandria. Energies are from GGA-PBE.

```
data_ScCoCu2Sb
_chemical_formula_sum 'Sc1 Co1 Cu2 Sb1'
_cell_length_a 4.724
_cell_length_b 4.724
_cell_length_c 5.502
_cell_angle_alpha 90.00
_cell_angle_beta 90.00
_cell_angle_gamma 90.00
_symmetry_space_group_name_H-M 'P 4/m m m'
_symmetry_Int_Tables_number 123
_symmetry_space_group_name_Hall '-P 4 2'
loop_
_atom_site_label
_atom_site_fract_x
_atom_site_fract_y
_atom_site_fract_z
_atom_site_occupancy
Sc1 0.000 0.000 0.000 1
Co1 0.500 0.500 0.000 1
Cu1 0.000 0.500 0.500 1
Sb1 0.000 0.000 0.500 1
```

Formation energy from raw total energies (eV per atom): 0.90
Density of states at the Fermi level (states/eV per cell): 3.0

Here is ScCoCu after structural relaxation from Alexandria. Energies are from GGA-PBE.

```
data_ScCoCu
_chemical_formula_sum 'Sc4 Co4 Cu4'
_cell_length_a 5.822
_cell_length_b 5.822
_cell_length_c 5.822
_cell_angle_alpha 90.00
_cell_angle_beta 90.00
_cell_angle_gamma 90.00
_symmetry_space_group_name_H-M 'F -4 3 m'
_symmetry_Int_Tables_number 216
_symmetry_space_group_name_Hall 'F -4 2 3'
loop_
_atom_site_label
_atom_site_fract_x
_atom_site_fract_y
_atom_site_fract_z
_atom_site_occupancy
Sc1 0.000 0.000 0.000 1
Co1 0.250 0.250 0.250 1
Cu1 0.000 0.000 0.500 1
```

Density of states at the Fermi level (states/eV per cell): 20.2
Formation energy from the elements (meV/atom): 134.5

Here is ScCoCu3 after structural relaxation from Alexandria. Energies are from GGA-PBE.

```
data_ScCoCu3
_chemical_formula_sum 'Sc1 Co1 Cu3'
_cell_length_a 4.386
_cell_length_b 4.386
_cell_length_c 4.386
_cell_angle_alpha 90.00
_cell_angle_beta 90.00
_cell_angle_gamma 90.00
_symmetry_space_group_name_H-M 'P m -3 m'
_symmetry_Int_Tables_number 221
_symmetry_space_group_name_Hall '-P 4 2 3'
loop_
_atom_site_label
_atom_site_fract_x
_atom_site_fract_y
_atom_site_fract_z
_atom_site_occupancy
Sc1 0.000 0.000 0.000 1
Co1 0.500 0.500 0.500 1
Cu1 0.000 0.500 0.500 1
```

Density of states at the Fermi level (states/eV per cell): 6.0
ΔE to the lowest computed polymorph (eV/atom): 0.000
Formation energy from the elements (meV/atom): 515.4